DFT (PBE-GGA) results for a geometry-optimized Fe2Ni15Ir2 structure.

Output
total moment = 16.624 μB per formula unit
uncorrected energy = -117.89 eV for the cell shown
ΔH_f (0 K) = 335.7 kJ/mol of formula units

Cell and atoms, written as POSCAR:
```
Fe2Ni15Ir2
1.0
-3.253 2.810 -4.474
-3.392 -4.847 -1.871
-5.174 1.186 3.213
Fe Ir Ni
2 2 15
direct
0.325 0.325 0.325
0.675 0.675 0.675
0.101 0.101 0.101
0.899 0.899 0.899
0.346 0.834 0.346
0.654 0.166 0.654
0.834 0.346 0.346
0.000 0.500 0.000
0.000 0.319 0.681
0.346 0.346 0.834
0.319 0.681 0.000
0.500 0.000 0.000
0.681 0.319 0.000
0.654 0.654 0.166
0.681 0.000 0.319
0.000 0.681 0.319
0.166 0.654 0.654
0.000 0.000 0.500
0.319 0.000 0.681
```

---

DFT (PBE-GGA) results for a geometry-optimized Fe3Ni12Ir structure.

Output
total moment = 7.539 μB per formula unit
uncorrected energy = -103.92 eV for the cell shown
ΔH_f (0 K) = -28.6 kJ/mol of formula units

Cell and atoms, written as POSCAR:
```
Fe3Ni12Ir
1.0
3.570 0.000 0.000
0.000 3.570 0.000
0.000 0.000 14.223
Ni Fe Ir
12 3 1
direct
0.500 0.500 0.500
0.500 0.000 0.130
0.000 0.500 0.130
0.500 0.500 0.747
0.000 0.500 0.376
0.500 0.500 0.000
0.000 0.500 0.624
0.500 0.000 0.870
0.000 0.500 0.870
0.500 0.000 0.376
0.500 0.000 0.624
0.500 0.500 0.253
0.000 0.000 0.255
0.000 0.000 0.745
0.000 0.000 0.500
0.000 0.000 0.000
```

---

DFT (PBE-GGA) results for a geometry-optimized FeNi3Ir6 structure.

Output
total moment = 3.020 μB per formula unit
uncorrected energy = -156.21 eV for the cell shown
ΔH_f (0 K) = 83.8 kJ/mol of formula units

Cell and atoms, written as POSCAR:
```
FeNi3Ir6
1.0
-1.508 -1.866 -1.214
2.711 -6.499 6.622
-8.672 4.058 4.531
Ir Fe Ni
12 2 6
direct
0.750 0.345 0.120
0.250 0.879 0.516
0.250 0.218 0.282
0.250 0.264 0.697
0.750 0.811 0.077
0.750 0.782 0.718
0.750 0.736 0.303
0.750 0.498 0.687
0.250 0.502 0.313
0.250 0.189 0.923
0.250 0.655 0.880
0.750 0.121 0.484
0.250 0.961 0.281
0.750 0.039 0.719
0.250 0.583 0.097
0.250 0.371 0.496
0.750 0.072 0.094
0.750 0.417 0.903
0.250 0.928 0.906
0.750 0.629 0.504
```

---

DFT (PBE-GGA) results for a geometry-optimized Fe3NiIr structure.

Output
total moment = 9.149 μB per formula unit
uncorrected energy = -158.29 eV for the cell shown
ΔH_f (0 K) = 44.2 kJ/mol of formula units

Cell and atoms, written as POSCAR:
```
Fe3NiIr
1.0
5.019 0.000 0.000
0.000 6.366 1.155
0.000 0.979 8.047
Ni Fe Ir
4 12 4
direct
0.752 0.003 0.000
0.252 0.997 0.500
0.748 0.003 0.500
0.248 0.997 0.000
0.510 0.814 0.291
0.162 0.613 0.599
0.662 0.387 0.901
0.491 0.791 0.801
0.838 0.387 0.401
0.990 0.814 0.791
0.009 0.791 0.301
0.490 0.186 0.709
0.010 0.186 0.209
0.338 0.613 0.099
0.991 0.209 0.699
0.509 0.209 0.199
0.669 0.598 0.590
0.831 0.598 0.090
0.169 0.402 0.910
0.331 0.402 0.410
```

---

DFT (PBE-GGA) results for a geometry-optimized FeNiIr3 structure.

Output
total moment = 0.001 μB per formula unit
uncorrected energy = -76.90 eV for the cell shown
ΔH_f (0 K) = 229.4 kJ/mol of formula units

Cell and atoms, written as POSCAR:
```
FeNiIr3
1.0
-2.736 0.565 4.666
-0.006 -4.819 2.520
3.631 0.231 4.042
Fe Ir Ni
2 6 2
direct
0.417 0.417 0.417
0.583 0.583 0.583
0.979 0.477 0.755
0.021 0.523 0.245
0.523 0.245 0.021
0.245 0.021 0.523
0.755 0.979 0.477
0.477 0.755 0.979
0.100 0.100 0.100
0.900 0.900 0.900
```

---

DFT (PBE-GGA) results for a geometry-optimized FeNi2Ir3 structure.

Output
total moment = 4.254 μB per formula unit
uncorrected energy = -93.50 eV for the cell shown
ΔH_f (0 K) = -13.7 kJ/mol of formula units

Cell and atoms, written as POSCAR:
```
FeNi2Ir3
1.0
-1.271 0.270 2.349
3.326 -3.414 2.193
2.097 13.300 -0.396
Ir Fe Ni
6 2 4
direct
0.500 0.251 0.167
0.000 0.751 0.667
0.500 0.249 0.833
0.500 0.250 0.500
0.000 0.750 0.000
0.000 0.749 0.333
0.000 0.250 0.000
0.500 0.750 0.500
0.000 0.247 0.664
0.500 0.747 0.164
0.000 0.253 0.336
0.500 0.753 0.836
```

---

DFT (PBE-GGA) results for a geometry-optimized FeNi4Ir structure.

Output
total moment = 6.244 μB per formula unit
uncorrected energy = -39.97 eV for the cell shown
ΔH_f (0 K) = 46.5 kJ/mol of formula units

Cell and atoms, written as POSCAR:
```
FeNi4Ir
1.0
0.000 3.290 3.290
3.290 0.000 3.290
3.290 3.290 0.000
Ir Ni Fe
1 4 1
direct
0.000 0.000 0.000
0.375 0.875 0.375
0.375 0.375 0.375
0.875 0.375 0.375
0.375 0.375 0.875
0.750 0.750 0.750
```

---

DFT (PBE-GGA) results for a geometry-optimized Fe4NiIr structure.

Output
total moment = 9.685 μB per formula unit
uncorrected energy = -47.91 eV for the cell shown
ΔH_f (0 K) = 56.1 kJ/mol of formula units

Cell and atoms, written as POSCAR:
```
Fe4NiIr
1.0
4.216 1.559 1.279
0.412 4.132 2.143
1.150 0.180 4.526
Fe Ni Ir
4 1 1
direct
0.625 0.625 0.625
0.124 0.625 0.625
0.625 0.625 0.124
0.625 0.124 0.625
0.000 0.000 0.000
0.250 0.250 0.250
```

---

DFT (PBE-GGA) results for a geometry-optimized FeNi6Ir structure.

Output
total moment = 6.625 μB per formula unit
uncorrected energy = -49.52 eV for the cell shown
ΔH_f (0 K) = 240.0 kJ/mol of formula units

Cell and atoms, written as POSCAR:
```
FeNi6Ir
1.0
4.221 0.678 -0.044
0.993 4.158 -0.044
1.444 1.339 6.123
Ni Ir Fe
6 1 1
direct
0.633 0.633 0.074
0.055 0.534 0.307
0.534 0.055 0.307
0.945 0.466 0.693
0.466 0.945 0.693
0.367 0.367 0.926
0.000 0.000 0.000
0.500 0.500 0.500
```

---

DFT (PBE-GGA) results for a geometry-optimized Fe3Ni4Ir2 structure.

Output
total moment = 11.012 μB per formula unit
uncorrected energy = -132.87 eV for the cell shown
ΔH_f (0 K) = -19.0 kJ/mol of formula units

Cell and atoms, written as POSCAR:
```
Fe3Ni4Ir2
1.0
4.435 -0.857 1.984
-0.233 6.542 1.102
2.204 -1.000 8.467
Ir Ni Fe
4 8 6
direct
0.317 0.507 0.940
0.122 0.267 0.395
0.683 0.493 0.060
0.878 0.733 0.605
0.794 0.934 0.385
0.094 0.627 0.275
0.344 0.150 0.057
0.760 0.282 0.280
0.240 0.718 0.720
0.206 0.066 0.615
0.656 0.850 0.943
0.906 0.373 0.725
0.430 0.958 0.273
0.533 0.394 0.606
0.026 0.828 0.055
0.974 0.172 0.945
0.570 0.042 0.727
0.467 0.606 0.394
```

---

DFT (PBE-GGA) results for a geometry-optimized FeNi8Ir2 structure.

Output
total moment = 9.622 μB per formula unit
uncorrected energy = -70.28 eV for the cell shown
ΔH_f (0 K) = 208.2 kJ/mol of formula units

Cell and atoms, written as POSCAR:
```
FeNi8Ir2
1.0
4.145 1.436 0.000
2.513 6.135 0.000
1.256 3.067 6.259
Ni Ir Fe
8 2 1
direct
0.240 0.623 0.274
0.251 0.497 0.000
0.500 0.806 0.388
0.760 0.103 0.274
0.760 0.377 0.726
0.240 0.897 0.726
0.749 0.503 0.000
0.500 0.194 0.612
0.000 0.318 0.363
0.000 0.682 0.637
0.500 0.000 0.000
```

---

DFT (PBE-GGA) results for a geometry-optimized FeNi6Ir2 structure.

Output
total moment = 7.402 μB per formula unit
uncorrected energy = -120.16 eV for the cell shown
ΔH_f (0 K) = 76.6 kJ/mol of formula units

Cell and atoms, written as POSCAR:
```
FeNi6Ir2
1.0
5.502 4.281 -0.376
-5.502 4.281 -0.376
0.000 -0.545 4.660
Ir Ni Fe
4 12 2
direct
0.310 0.473 0.492
0.690 0.527 0.508
0.473 0.310 0.992
0.527 0.690 0.008
0.335 0.940 0.851
0.156 0.452 0.965
0.876 0.865 0.354
0.060 0.665 0.649
0.135 0.124 0.146
0.665 0.060 0.149
0.844 0.548 0.035
0.865 0.876 0.854
0.940 0.335 0.351
0.452 0.156 0.465
0.124 0.135 0.646
0.548 0.844 0.535
0.796 0.204 0.750
0.204 0.796 0.250
```